A geometry-optimized ZnSnHgTe3 structure, computed with PBE.

For the distance to the lowest polymorph of the same formula, the calculation gives 135 meV per atom.

The space group is Cmcm (No. 63) and the conventional cell measures 4.414, 15.558 and 10.189 Å, with angles of 90.00, 90.00 and 90.00 degrees. The asymmetric unit holds Zn at (0.000, 0.000, 0.000), Sn at (0.000, 0.229, 0.250), Hg at (0.000, 0.474, 0.750), Te at (0.000, 0.088, 0.750) and Te at (0.000, 0.348, 0.549).